1.
{
  "formula": "LiBe2Tc",
  "functional": "PBE",
  "state": "optimized geometry",
  "relative_energy_ev_per_atom": 0.2290,
  "space_group": "C2/m",
  "cell": [[-1.667, 1.907, 3.411], [-2.699, -0.291, 3.269], [3.331, -1.769, 3.171]],
  "species": ["Tc", "Li", "Be", "Be"],
  "frac_coords": [[0.250, 0.250, 0.250], [0.750, 0.750, 0.750], [0.504, 0.504, 0.445], [0.996, 0.996, 0.055]]
}

2.
{
  "formula": "Cs2HfAlCl6",
  "functional": "PBE",
  "state": "optimized geometry",
  "e_form_raw_ev_per_atom": -1.53,
  "space_group": "Fm-3m",
  "cell": [[7.749, 0.000, 0.000], [0.000, 7.749, 0.000], [3.874, 3.874, 5.480]],
  "species": ["Cl", "Cl", "Cs", "Cl", "Hf", "Cl", "Cl", "Al", "Cl", "Cs"],
  "frac_coords": [[0.230, 0.770, 0.000], [0.770, 0.230, 0.000], [0.250, 0.750, 0.500], [0.770, 0.770, 0.000], [0.000, 0.000, 0.000], [0.230, 0.230, 0.000], [0.230, 0.230, 0.539], [0.500, 0.500, 0.000], [0.770, 0.770, 0.461], [0.750, 0.250, 0.500]]
}

3.
{
  "formula": "AlFeCu2",
  "functional": "PBE",
  "state": "optimized geometry",
  "final_energy_ev_per_atom": -5.095,
  "space_group": "R3m",
  "cell": [[8.436, -0.004, -0.003], [8.023, 2.607, -0.003], [8.023, 1.269, 2.278]],
  "species": ["Al", "Cu", "Fe", "Cu"],
  "frac_coords": [[0.751, 0.751, 0.751], [0.000, 0.000, 0.000], [0.500, 0.500, 0.500], [0.250, 0.250, 0.250]]
}

4.
{
  "formula": "Pr4NiOsI2",
  "functional": "PBE",
  "state": "optimized geometry",
  "e_form_raw_ev_per_atom": -0.63,
  "space_group": "P2/m",
  "cell": [[-3.865, 1.254, -1.070], [1.315, -1.798, -6.853], [-3.297, -6.962, 3.750]],
  "species": ["Pr", "Pr", "Os", "I", "Ni", "Pr", "I", "Pr"],
  "frac_coords": [[0.000, 0.275, 0.811], [0.000, 0.725, 0.189], [0.500, 0.500, 0.000], [0.500, 0.000, 0.500], [0.000, 0.000, 0.000], [0.500, 0.770, 0.817], [0.000, 0.500, 0.500], [0.500, 0.230, 0.183]]
}

5.
{
  "formula": "Bi2AsH2Pd7",
  "functional": "PBE",
  "state": "optimized geometry",
  "final_energy_ev_per_atom": -4.810,
  "space_group": "C2/m",
  "cell": [[4.074, -0.005, 0.010], [0.000, 4.074, 0.010], [2.010, 2.008, 11.255]],
  "species": ["Pd", "Bi", "Pd", "Pd", "H", "Pd", "As", "Pd", "Pd", "H", "Bi", "Pd"],
  "frac_coords": [[0.674, 0.674, 0.650], [0.197, 0.197, 0.605], [0.915, 0.415, 0.171], [0.085, 0.585, 0.829], [0.411, 0.411, 0.173], [0.500, 0.500, 0.000], [0.000, 0.000, 0.000], [0.326, 0.326, 0.350], [0.415, 0.915, 0.171], [0.589, 0.589, 0.827], [0.803, 0.803, 0.395], [0.585, 0.085, 0.829]]
}

6.
{
  "formula": "KRb2Na",
  "functional": "PBE",
  "state": "optimized geometry",
  "relative_energy_ev_per_atom": 0.0000,
  "space_group": "P4/mmm",
  "cell": [[-2.639, -2.139, -3.632], [2.980, -3.977, 0.177], [-6.916, -4.833, 7.871]],
  "species": ["Rb", "K", "Na", "Rb"],
  "frac_coords": [[0.000, 0.000, 0.216], [0.500, 0.500, 0.500], [0.500, 0.500, 0.000], [0.000, 0.000, 0.784]]
}